[1]
Th2PaCrN6 | GGA-PBE | relaxed

## Properties
- formation energy without anion corrections (kJ per mole of atoms) = -112.6

Unit cell a=5.501 b=5.501 c=5.013 alpha=90.00 beta=90.00 gamma=90.00
Atoms (fractional coordinates):
Th  0.000  0.500  0.000
Th  0.500  0.000  0.000
Pa  0.000  0.000  0.569
Cr  0.500  0.500  0.583
N  0.000  0.000  0.125
N  0.265  0.265  0.724
N  0.265  0.735  0.724
N  0.500  0.500  0.247
N  0.735  0.265  0.724
N  0.735  0.735  0.724

---

[2]
CsSrI | GGA-PBE | relaxed

## Properties
- formation energy without anion corrections (kJ per mole of atoms) = -75.9
- D(E_F) (states/eV per atom) = 0.794

Unit cell a=18.309 b=4.648 c=4.648 alpha=60.06 beta=90.00 gamma=90.00
Atoms (fractional coordinates):
Cs  0.224  0.000  0.000
Cs  0.776  0.000  0.000
Sr  0.000  0.339  0.339
Sr  0.500  0.667  0.667
I  0.384  0.333  0.333
I  0.616  0.333  0.333

---

[3]
VPdSe3 | GGA-PBE | relaxed

## Properties
- formation energy without anion corrections (kJ per mole of atoms) = -34.5
- energy relative to the lowest polymorph listed for this composition (eV per formula unit) = 0.000
- D(E_F) (states/eV per atom) = 0.709

Unit cell a=7.413 b=7.413 c=7.026 alpha=97.98 beta=97.98 gamma=30.31
Atoms (fractional coordinates):
V  0.209  0.209  0.231
V  0.791  0.791  0.769
Pd  0.441  0.441  0.321
Pd  0.559  0.559  0.679
Se  0.031  0.031  0.201
Se  0.176  0.176  0.580
Se  0.333  0.333  0.991
Se  0.667  0.667  0.009
Se  0.824  0.824  0.420
Se  0.969  0.969  0.799

---

[4]
Ce2MoC4 | GGA-PBE | relaxed

## Properties
- formation energy from the elements (meV/atom) = 381
- D(E_F) (states/eV per atom) = 1.694

Unit cell a=7.874 b=7.874 c=4.160 alpha=90.00 beta=90.00 gamma=149.35
Atoms (fractional coordinates):
Ce  0.133  0.867  0.000
Ce  0.867  0.133  0.000
Mo  0.500  0.500  0.500
C  0.046  0.954  0.500
C  0.454  0.546  0.000
C  0.546  0.454  0.000
C  0.954  0.046  0.500

---

For each record above, in turn, the calculated E_tot values are -9.558; -2.148; -5.311; -8.133 eV per atom.